Material: HfSbTe2F
Method: DFT, PBE-GGA
State: relaxed

Density of states at the Fermi level in states/eV/cell: 5.68
Space group: P4/mmm
Energy above the most stable polymorph in this dataset in meV/atom: 0.0

a = 5.4326 Å, b = 5.4326 Å, c = 5.5652 Å
α = 90.00°, β = 90.00°, γ = 90.00°
Fractional positions:
Hf (0.0000, 0.0000, 0.0000)
Sb (0.0000, 0.0000, 0.5000)
Te (0.0000, 0.5000, 0.0000)
Te (0.5000, 0.0000, 0.0000)
F (0.5000, 0.5000, 0.5000)

Material: Ca4SiAg3
Method: DFT, PBE-GGA
State: relaxed

Density of states at the Fermi level in states/eV/cell: 4.20
Space group: R-3m

a = 9.0523 Å, b = 9.0523 Å, c = 9.0523 Å
α = 33.23°, β = 33.23°, γ = 33.23°
Fractional positions:
Ca (0.1214, 0.1214, 0.1214)
Ca (0.3717, 0.3717, 0.3717)
Ca (0.6283, 0.6283, 0.6283)
Ca (0.8786, 0.8786, 0.8786)
Si (0.0000, 0.0000, 0.0000)
Ag (0.2459, 0.2459, 0.2459)
Ag (0.5000, 0.5000, 0.5000)
Ag (0.7541, 0.7541, 0.7541)

| no. | spin magnetization (μB/cell) | formation energy (no corrections) (meV/atom) |
| --- | --- | --- |
| 1 | 0.00 | -193 |
| 2 | 0.00 | -347 |